The following is a PBE calculation of a relaxed PrMgCdSn crystal, from Alexandria.

a b c (Å): 4.531 4.652 4.909
angles (deg): 90.00 90.00 90.00
Space group Pmmm (No. 47)
Asymmetric unit:
Pr  0.000  0.000  0.000
Mg  0.000  0.500  0.500
Cd  0.500  0.000  0.500
Sn  0.500  0.500  0.000

Output
Relative energy among the computed polymorphs   0.0000 eV/atom
Calculated formation energy   -44.1 kJ per mole of atoms
Magnetic moment   0.00 μB per formula unit